KTl2AgBr4 | PBE | relaxed

Cell lengths 12.8712, 12.9058, 9.1884 Å; angles 90.00, 134.19, 90.00 degrees
Space group C2/c (No. 15)
Symmetry-distinct sites (fractional):
1 K 0.0000 0.0000 0.0000 (multiplicity 4)
2 Tl 0.0000 0.5000 0.0000 (multiplicity 4)
3 Tl 0.2500 0.2500 0.0000 (multiplicity 4)
4 Ag 0.2500 0.2500 0.5000 (multiplicity 4)
5 Br 0.0199 0.2479 0.4938 (multiplicity 8)
6 Br 0.2452 0.0203 0.4950 (multiplicity 8)

Output
ΔE_f (raw) (eV/atom): -0.914